[1]
{"formula": "ErTh4", "functional": "PBE-GGA", "state": "relaxed", "final_energy_ev_per_cell": -34.2, "crystal_system": "monoclinic", "e_form_kj_per_mol_atoms": 2, "relative_energy_ev_per_atom": 0.0000, "cell": [[3.5186, -0.0011, 0.5601], [1.7080, 3.0762, 0.5601], [-0.5594, -0.3291, 14.6133]], "species": ["Er", "Th", "Th", "Th", "Th"], "fractional_positions": [[0.0000, 0.0000, 0.0000], [0.8003, 0.8003, 0.6006], [0.6007, 0.6007, 0.2009], [0.1997, 0.1997, 0.3994], [0.3993, 0.3993, 0.7991]]}

***

[2]
{"formula": "Er2Th3", "functional": "PBE-GGA", "state": "relaxed", "final_energy_ev_per_cell": -60.2, "crystal_system": "monoclinic", "e_form_kj_per_mol_atoms": 25, "relative_energy_ev_per_atom": 0.1448, "cell": [[-0.7390, -7.4459, 4.6493], [1.5515, -6.2448, -0.9570], [8.2163, -1.7836, 2.8483]], "species": ["Th", "Er", "Er", "Er", "Th", "Er", "Th", "Th", "Th", "Th"], "fractional_positions": [[0.7495, 0.3735, 0.0000], [0.5000, 0.5000, 0.5000], [0.5000, 0.0000, 0.5000], [0.0000, 0.2050, 0.5901], [0.2505, 0.6265, 0.0000], [0.0000, 0.7950, 0.4099], [0.2451, 0.0597, 0.1882], [0.2451, 0.2479, 0.8118], [0.7549, 0.9403, 0.8118], [0.7549, 0.7521, 0.1882]]}

***

[3]
{"formula": "Er6Th", "functional": "PBE-GGA", "state": "relaxed", "final_energy_ev_per_cell": -23.8, "crystal_system": "cubic", "e_form_kj_per_mol_atoms": 151, "cell": [[6.8870, 0.0000, 0.0000], [-2.2957, 6.4931, 0.0000], [-2.2957, -3.2466, 5.6232]], "species": ["Er", "Er", "Er", "Er", "Th", "Er", "Er"], "fractional_positions": [[0.5000, 0.2500, 0.7500], [0.7500, 0.2500, 0.5000], [0.7500, 0.5000, 0.2500], [0.5000, 0.7500, 0.2500], [0.0000, 0.0000, 0.0000], [0.2500, 0.5000, 0.7500], [0.2500, 0.7500, 0.5000]]}

***

[4]
{"formula": "ErTh3", "functional": "PBE-GGA", "state": "relaxed", "final_energy_ev_per_cell": -26.6, "crystal_system": "orthorhombic", "e_form_kj_per_mol_atoms": 5, "relative_energy_ev_per_atom": 0.0108, "cell": [[3.5503, 0.0000, 0.0000], [0.0000, 5.8805, 0.0000], [0.0000, 0.0000, 6.1429]], "species": ["Th", "Th", "Er", "Th"], "fractional_positions": [[0.5000, 0.0000, 0.4986], [0.5000, 0.5000, 0.8344], [0.0000, 0.5000, 0.3312], [0.0000, 0.0000, 0.0025]]}

***

[5]
{"formula": "Er3Th", "functional": "PBE-GGA", "state": "relaxed", "final_energy_ev_per_cell": -21.0, "crystal_system": "hexagonal", "e_form_kj_per_mol_atoms": 3, "relative_energy_ev_per_atom": 0.0040, "cell": [[3.5694, 0.0000, 0.0000], [-1.7847, 3.0912, 0.0000], [0.0000, 0.0000, 11.3669]], "species": ["Er", "Er", "Th", "Er"], "fractional_positions": [[0.0000, 0.0000, 0.7537], [0.3333, 0.6667, 0.0000], [0.3333, 0.6667, 0.5000], [0.0000, 0.0000, 0.2463]]}

***

[6]
{"formula": "Er5Th", "functional": "PBE-GGA", "state": "relaxed", "final_energy_ev_per_cell": -30.1, "crystal_system": "tetragonal", "e_form_kj_per_mol_atoms": 2, "relative_energy_ev_per_atom": 0.0037, "cell": [[3.5185, 0.0000, 0.0000], [0.0000, 3.5185, 0.0000], [0.0000, 0.0000, 14.9998]], "species": ["Er", "Th", "Er", "Er", "Er", "Er"], "fractional_positions": [[0.0000, 0.0000, 0.6649], [0.5000, 0.5000, 0.5000], [0.0000, 0.0000, 0.3351], [0.5000, 0.5000, 0.1647], [0.0000, 0.0000, 0.0000], [0.5000, 0.5000, 0.8353]]}